Below is a relaxed structure of Pu2Hf3Si4, with properties calculated at the PBE-GGA level. Values from VASP.

Summary:
Mass density (g/cm3): 10.69
Energy relative to the elements, uncorrected (kcal/mol of atoms): -15.2
Volume (Å³/cell): 353
Symmetry: P2_1/c, No. 14

Geometry as Quantum ESPRESSO input:
```
&SYSTEM
  ibrav = 0, nat = 18, ntyp = 3
/
ATOMIC_SPECIES
Pu 244.00 Pu.upf
Hf 178.49 Hf.upf
Si 28.09 Si.upf
ATOMIC_POSITIONS angstrom
Pu 3.5803 1.2711 2.4278
Pu 4.6851 5.5715 6.0575
Pu 1.1479 5.5823 4.8317
Pu 0.0431 1.2819 1.2020
Hf -1.1730 3.4375 3.6298
Hf 2.3641 3.4267 0.0000
Hf 4.7161 1.7016 5.9667
Hf 3.5493 5.1411 2.3369
Hf 0.0122 5.1519 1.2928
Hf 1.1789 1.7124 4.9226
Si 5.9626 0.5476 3.8769
Si 2.3028 6.2950 0.2472
Si -1.2343 6.3058 3.3826
Si 2.4254 0.5584 7.0123
Si 5.0036 3.3523 0.9098
Si 3.2617 3.4903 4.5396
Si -0.2754 3.5011 6.3497
Si 1.4665 3.3631 2.7199
CELL_PARAMETERS angstrom
7.0743 -0.0216 0.0000
-2.3461 6.8751 0.0000
0.0000 0.0000 7.2595
```